{
  "formula": "ScTaAg2S6",
  "functional": "GGA-PBE",
  "state": "relaxed",
  "lattice_angstrom": [[-5.366, 3.967, 1.705], [-4.201, 2.402, -4.901], [-0.032, -6.703, 1.582]],
  "species": ["Ag", "Ag", "S", "S", "S", "S", "S", "S", "Sc", "Ta"],
  "fractional_positions": [[0.750, 0.750, 0.250], [0.250, 0.250, 0.750], [0.246, 0.246, 0.246], [0.754, 0.246, 0.246], [0.246, 0.754, 0.246], [0.754, 0.246, 0.754], [0.246, 0.754, 0.754], [0.754, 0.754, 0.754], [0.500, 0.500, 0.500], [0.000, 0.000, 0.000]]
}

{
  "formula": "NaAcTa",
  "functional": "GGA-PBE",
  "state": "relaxed",
  "lattice_angstrom": [[0.000, 3.682, 3.682], [3.682, 0.000, 3.682], [3.682, 3.682, 0.000]],
  "species": ["Ac", "Na", "Ta"],
  "fractional_positions": [[0.000, 0.000, 0.000], [0.500, 0.500, 0.500], [0.250, 0.250, 0.250]]
}

{
  "formula": "ZrCoBiIr",
  "functional": "GGA-PBE",
  "state": "relaxed",
  "lattice_angstrom": [[-2.580, -2.344, 3.111], [-3.668, 2.068, 2.025], [-4.339, -1.341, -1.099]],
  "species": ["Bi", "Co", "Ir", "Zr"],
  "fractional_positions": [[0.000, 0.000, 0.000], [0.750, 0.750, 0.750], [0.500, 0.500, 0.500], [0.250, 0.250, 0.250]],
  "polymorph_energy_mev_per_atom": 230.9
}

{
  "formula": "Y2In2PdPt3",
  "functional": "GGA-PBE",
  "state": "relaxed",
  "lattice_angstrom": [[4.601, 0.000, 0.000], [-2.301, 3.985, 0.000], [0.000, 0.000, 9.002]],
  "species": ["In", "In", "Pd", "Pt", "Pt", "Pt", "Y", "Y"],
  "fractional_positions": [[0.333, 0.667, 0.001], [0.333, 0.667, 0.501], [0.000, 0.000, 0.912], [0.667, 0.333, 0.087], [0.667, 0.333, 0.408], [0.000, 0.000, 0.593], [0.000, 0.000, 0.252], [0.667, 0.333, 0.746]]
}

{
  "formula": "Dy2Y3Er2Ni2Te2",
  "functional": "GGA-PBE",
  "state": "relaxed",
  "lattice_angstrom": [[-4.713, 4.235, 6.891], [7.600, 4.208, -3.489], [-9.025, -2.460, 0.362]],
  "species": ["Dy", "Dy", "Er", "Er", "Ni", "Ni", "Te", "Te", "Y", "Y", "Y"],
  "fractional_positions": [[0.099, 0.747, 0.353], [0.394, 0.747, 0.647], [0.411, 0.096, 0.315], [0.781, 0.096, 0.685], [0.643, 0.406, 0.237], [0.168, 0.406, 0.763], [0.142, 0.142, 0.000], [0.741, 0.241, 0.500], [0.478, 0.478, 0.000], [0.026, 0.895, 0.131], [0.763, 0.895, 0.869]],
  "polymorph_energy_mev_per_atom": 0.8
}

{
  "formula": "Rb2ZnPdF6",
  "functional": "GGA-PBE",
  "state": "relaxed",
  "lattice_angstrom": [[4.299, 2.856, 2.793], [-3.951, 2.843, 3.278], [-0.004, -5.865, -0.214]],
  "species": ["F", "F", "F", "F", "F", "F", "Pd", "Rb", "Rb", "Zn"],
  "fractional_positions": [[0.742, 0.258, 0.000], [0.261, 0.261, 0.000], [0.739, 0.739, 0.000], [0.258, 0.742, 0.000], [0.742, 0.742, 0.484], [0.258, 0.258, 0.516], [0.000, 0.000, 0.000], [0.750, 0.250, 0.500], [0.250, 0.750, 0.500], [0.500, 0.500, 0.000]]
}

{
  "formula": "CsNaAgAs",
  "functional": "GGA-PBE",
  "state": "relaxed",
  "lattice_angstrom": [[6.675, 0.000, 0.000], [0.000, 5.722, 0.000], [-1.138, 0.000, 6.767]],
  "species": ["Ag", "Ag", "As", "As", "Cs", "Cs", "Na", "Na"],
  "fractional_positions": [[0.000, 0.000, 0.500], [0.000, 0.500, 0.500], [0.717, 0.250, 0.302], [0.283, 0.750, 0.698], [0.206, 0.250, 0.047], [0.794, 0.750, 0.953], [0.560, 0.750, 0.398], [0.440, 0.250, 0.602]],
  "polymorph_energy_mev_per_atom": 0.0
}

{
  "formula": "ErHgSO",
  "functional": "GGA-PBE",
  "state": "relaxed",
  "lattice_angstrom": [[7.051, 0.000, 0.638], [0.000, 7.168, 0.000], [-0.024, 0.000, 6.514]],
  "species": ["Er", "Er", "Er", "Er", "Hg", "Hg", "Hg", "Hg", "O", "O", "O", "O", "S", "S", "S", "S"],
  "fractional_positions": [[0.521, 0.638, 0.207], [0.479, 0.138, 0.293], [0.521, 0.862, 0.707], [0.479, 0.362, 0.793], [0.980, 0.312, 0.003], [0.020, 0.812, 0.497], [0.980, 0.188, 0.503], [0.020, 0.688, 0.997], [0.600, 0.356, 0.087], [0.400, 0.856, 0.413], [0.600, 0.144, 0.587], [0.400, 0.644, 0.913], [0.748, 0.930, 0.042], [0.252, 0.430, 0.458], [0.748, 0.570, 0.542], [0.252, 0.070, 0.958]],
  "polymorph_energy_mev_per_atom": 112.1
}

{
  "formula": "LaErZn2Pb2",
  "functional": "GGA-PBE",
  "state": "relaxed",
  "lattice_angstrom": [[4.679, 0.000, 0.000], [-2.339, 4.052, 0.000], [0.000, 0.000, 16.233]],
  "species": ["Er", "Er", "La", "La", "Pb", "Pb", "Pb", "Pb", "Zn", "Zn", "Zn", "Zn"],
  "fractional_positions": [[0.000, 0.000, 0.000], [0.000, 0.000, 0.500], [0.000, 0.000, 0.250], [0.000, 0.000, 0.750], [0.333, 0.667, 0.105], [0.333, 0.667, 0.395], [0.667, 0.333, 0.605], [0.667, 0.333, 0.895], [0.667, 0.333, 0.157], [0.667, 0.333, 0.343], [0.333, 0.667, 0.657], [0.333, 0.667, 0.843]],
  "polymorph_energy_mev_per_atom": 40.9
}

{
  "formula": "MgHgSeO",
  "functional": "GGA-PBE",
  "state": "relaxed",
  "lattice_angstrom": [[-4.004, -0.126, -0.583], [0.477, -3.052, -2.616], [-0.849, -6.290, 7.184]],
  "species": ["Hg", "Hg", "Mg", "Mg", "O", "O", "Se", "Se"],
  "fractional_positions": [[0.750, 0.750, 0.126], [0.250, 0.250, 0.874], [0.250, 0.250, 0.305], [0.750, 0.750, 0.695], [0.250, 0.250, 0.113], [0.750, 0.750, 0.887], [0.750, 0.250, 0.500], [0.250, 0.750, 0.500]],
  "polymorph_energy_mev_per_atom": 707.5
}

{
  "formula": "Tl2Mo9S11",
  "functional": "GGA-PBE",
  "state": "relaxed",
  "lattice_angstrom": [[4.698, 2.712, 11.879], [-4.698, 2.712, 11.879], [0.000, -5.425, 11.879]],
  "species": ["Mo", "Mo", "Mo", "Mo", "Mo", "Mo", "Mo", "Mo", "Mo", "Mo", "Mo", "Mo", "Mo", "Mo", "Mo", "Mo", "Mo", "Mo", "S", "S", "S", "S", "S", "S", "S", "S", "S", "S", "S", "S", "S", "S", "S", "S", "S", "S", "S", "S", "S", "S", "Tl", "Tl", "Tl", "Tl"],
  "fractional_positions": [[0.176, 0.356, 0.027], [0.417, 0.250, 0.083], [0.324, 0.473, 0.144], [0.356, 0.027, 0.176], [0.083, 0.417, 0.250], [0.473, 0.144, 0.324], [0.027, 0.176, 0.356], [0.250, 0.083, 0.417], [0.144, 0.324, 0.473], [0.856, 0.676, 0.527], [0.750, 0.917, 0.583], [0.973, 0.824, 0.644], [0.527, 0.856, 0.676], [0.917, 0.583, 0.750], [0.644, 0.973, 0.824], [0.676, 0.527, 0.856], [0.583, 0.750, 0.917], [0.824, 0.644, 0.973], [0.622, 0.284, 0.019], [0.750, 0.446, 0.054], [0.519, 0.784, 0.122], [0.135, 0.135, 0.135], [0.878, 0.481, 0.216], [0.554, 0.946, 0.250], [0.019, 0.622, 0.284], [0.365, 0.365, 0.365], [0.716, 0.981, 0.378], [0.054, 0.750, 0.446], [0.216, 0.878, 0.481], [0.784, 0.122, 0.519], [0.946, 0.250, 0.554], [0.284, 0.019, 0.622], [0.635, 0.635, 0.635], [0.981, 0.378, 0.716], [0.446, 0.054, 0.750], [0.122, 0.519, 0.784], [0.865, 0.865, 0.865], [0.481, 0.216, 0.878], [0.250, 0.554, 0.946], [0.378, 0.716, 0.981], [0.052, 0.052, 0.052], [0.448, 0.448, 0.448], [0.552, 0.552, 0.552], [0.948, 0.948, 0.948]],
  "polymorph_energy_mev_per_atom": 0.0
}

{
  "formula": "TaAgAs2",
  "functional": "GGA-PBE",
  "state": "relaxed",
  "lattice_angstrom": [[0.000, 3.301, 3.301], [3.301, 0.000, 3.301], [3.301, 3.301, 0.000]],
  "species": ["Ag", "As", "As", "Ta"],
  "fractional_positions": [[0.500, 0.500, 0.500], [0.000, 0.000, 0.000], [0.250, 0.250, 0.250], [0.750, 0.750, 0.750]]
}

no.,density (Mg/m³),calculated total energy (eV/atom),volume (Å³/atom)
1,4.6,-5.19,23.10
2,7.2,-4.26,33.28
3,12.7,-6.99,18.03
4,11.1,-6.15,20.63
5,7.5,-5.70,26.16
6,5.3,-4.07,14.23
7,4.4,-2.78,32.31
8,8.4,-5.24,20.58
9,9.2,-3.66,25.64
10,6.8,-3.06,19.64
11,5.9,-7.36,20.64
12,10.1,-5.49,17.98